(1)
Density functional theory data (PBE) for an optimized crystal structure of Ac2ZnGa3Pd4.

Computed properties:
* size of the total moment: 0.000 μB/atom
* formation energy: -777.1 meV/atom
* calculated density: 9.2 g/cm³
* N(E_F): 7.2 states/eV per cell

Geometry as CIF:
```
data_Ac2ZnGa3Pd4
_chemical_formula_sum 'Ac2 Zn1 Ga3 Pd4'
_symmetry_space_group_name_H-M 'P -4 m 2'
_symmetry_Int_Tables_number 115
_cell_length_a 4.523
_cell_length_b 4.523
_cell_length_c 10.196
_cell_angle_alpha 90.00
_cell_angle_beta 90.00
_cell_angle_gamma 90.00
loop_
_symmetry_equiv_pos_as_xyz
'x,y,z'
'y,-x,-z'
'-x,-y,z'
'-y,x,-z'
'-x,y,z'
'-y,-x,-z'
'x,-y,z'
'y,x,-z'
loop_
_atom_site_label
_atom_site_fract_x
_atom_site_fract_y
_atom_site_fract_z
Ac1 0.000 0.500 0.248
Zn1 0.000 0.000 0.500
Ga1 0.000 0.500 0.881
Ga2 0.500 0.500 0.500
Pd1 0.000 0.000 0.000
Pd2 0.000 0.500 0.629
Pd3 0.500 0.500 0.000
```

---

(2)
Density functional theory data (PBE) for an optimized crystal structure of AcZnGa2Pd5.

Computed properties:
* size of the total moment: 0.000 μB/atom
* formation energy: -472.2 meV/atom
* calculated density: 9.3 g/cm³
* N(E_F): 4.4 states/eV per cell

Geometry as CIF:
```
data_AcZnGa2Pd5
_chemical_formula_sum 'Ac1 Zn1 Ga2 Pd5'
_symmetry_space_group_name_H-M 'P 4/m m m'
_symmetry_Int_Tables_number 123
_symmetry_space_group_name_Hall '-P 4 2'
_cell_length_a 4.829
_cell_length_b 4.829
_cell_length_c 7.347
_cell_angle_alpha 90.00
_cell_angle_beta 90.00
_cell_angle_gamma 90.00
loop_
_atom_site_label
_atom_site_fract_x
_atom_site_fract_y
_atom_site_fract_z
Ac1 0.000 0.000 0.000
Zn1 0.000 0.000 0.500
Ga1 0.500 0.500 0.333
Pd1 0.000 0.500 0.301
Pd2 0.500 0.500 0.000
```

---

(3)
Density functional theory data (PBE) for an optimized crystal structure of AcZnGaPd2.

Computed properties:
* size of the total moment: 0.000 μB/atom
* formation energy: -711.7 meV/atom
* calculated density: 9.1 g/cm³
* N(E_F): 3.0 states/eV per cell

Geometry as CIF:
```
data_AcZnGaPd2
_chemical_formula_sum 'Ac2 Zn2 Ga2 Pd4'
_symmetry_space_group_name_H-M 'I -4 m 2'
_symmetry_Int_Tables_number 119
_symmetry_space_group_name_Hall 'I -4 -2'
_cell_length_a 4.330
_cell_length_b 4.330
_cell_length_c 11.190
_cell_angle_alpha 90.00
_cell_angle_beta 90.00
_cell_angle_gamma 90.00
loop_
_atom_site_label
_atom_site_fract_x
_atom_site_fract_y
_atom_site_fract_z
Ac1 0.000 0.000 0.000
Zn1 0.000 0.500 0.750
Ga1 0.000 0.500 0.250
Pd1 0.000 0.000 0.377
```

---

(4)
Density functional theory data (PBE) for an optimized crystal structure of AcZn2GaPd.

Computed properties:
* size of the total moment: 0.000 μB/atom
* formation energy: -538.4 meV/atom
* calculated density: 8.4 g/cm³
* N(E_F): 5.5 states/eV per cell

Geometry as CIF:
```
data_AcZn2GaPd
_chemical_formula_sum 'Ac2 Zn4 Ga2 Pd2'
_symmetry_space_group_name_H-M 'I m m 2'
_symmetry_Int_Tables_number 44
_cell_length_a 4.408
_cell_length_b 4.447
_cell_length_c 10.745
_cell_angle_alpha 90.00
_cell_angle_beta 90.00
_cell_angle_gamma 90.00
loop_
_symmetry_equiv_pos_as_xyz
'x,y,z'
'-x,-y,z'
'-x,y,z'
'x,-y,z'
'x+1/2,y+1/2,z+1/2'
'-x+1/2,-y+1/2,z+1/2'
'-x+1/2,y+1/2,z+1/2'
'x+1/2,-y+1/2,z+1/2'
loop_
_atom_site_label
_atom_site_fract_x
_atom_site_fract_y
_atom_site_fract_z
Ac1 0.000 0.000 0.000
Zn1 0.000 0.000 0.620
Zn2 0.000 0.500 0.249
Ga1 0.000 0.500 0.752
Pd1 0.000 0.000 0.379
```

---

(5)
Density functional theory data (PBE) for an optimized crystal structure of Ac2Zn4Ga3Pd.

Computed properties:
* size of the total moment: 0.000 μB/atom
* formation energy: -495.1 meV/atom
* calculated density: 8.1 g/cm³
* N(E_F): 5.3 states/eV per cell

Geometry as CIF:
```
data_Ac2Zn4Ga3Pd
_chemical_formula_sum 'Ac2 Zn4 Ga3 Pd1'
_symmetry_space_group_name_H-M 'P -4 m 2'
_symmetry_Int_Tables_number 115
_cell_length_a 4.519
_cell_length_b 4.519
_cell_length_c 10.292
_cell_angle_alpha 90.00
_cell_angle_beta 90.00
_cell_angle_gamma 90.00
loop_
_symmetry_equiv_pos_as_xyz
'x,y,z'
'y,-x,-z'
'-x,-y,z'
'-y,x,-z'
'-x,y,z'
'-y,-x,-z'
'x,-y,z'
'y,x,-z'
loop_
_atom_site_label
_atom_site_fract_x
_atom_site_fract_y
_atom_site_fract_z
Ac1 0.000 0.500 0.247
Zn1 0.000 0.000 0.500
Zn2 0.000 0.500 0.877
Zn3 0.500 0.500 0.500
Ga1 0.000 0.000 0.000
Ga2 0.000 0.500 0.630
Pd1 0.500 0.500 0.000
```

---

(6)
Density functional theory data (PBE) for an optimized crystal structure of Ac3ZnGa2Pd9.

Computed properties:
* size of the total moment: 0.000 μB/atom
* formation energy: -637.9 meV/atom
* calculated density: 9.2 g/cm³
* N(E_F): 4.1 states/eV per cell

Geometry as CIF:
```
data_Ac3ZnGa2Pd9
_chemical_formula_sum 'Ac3 Zn1 Ga2 Pd9'
_symmetry_space_group_name_H-M 'P -3 m 1'
_symmetry_Int_Tables_number 164
_symmetry_space_group_name_Hall '-P 3 2"'
_cell_length_a 5.9701
_cell_length_b 5.9701
_cell_length_c 10.7756
_cell_angle_alpha 90.00
_cell_angle_beta 90.00
_cell_angle_gamma 120.00
loop_
_atom_site_label
_atom_site_fract_x
_atom_site_fract_y
_atom_site_fract_z
Ac1 0.0000 0.0000 0.0000
Ac2 0.3333 0.6667 0.6373
Zn1 0.0000 0.0000 0.5000
Ga1 0.3333 0.6667 0.1659
Pd1 0.0000 0.5000 0.0000
Pd2 0.1623 0.3245 0.3243
```

---

(7)
Density functional theory data (PBE) for an optimized crystal structure of Ac2Zn4GaPd3.

Computed properties:
* size of the total moment: 0.000 μB/atom
* formation energy: -588.0 meV/atom
* calculated density: 8.8 g/cm³
* N(E_F): 5.2 states/eV per cell

Geometry as CIF:
```
data_Ac2Zn4GaPd3
_chemical_formula_sum 'Ac2 Zn4 Ga1 Pd3'
_symmetry_space_group_name_H-M 'P -4 m 2'
_symmetry_Int_Tables_number 115
_cell_length_a 4.403
_cell_length_b 4.403
_cell_length_c 10.747
_cell_angle_alpha 90.00
_cell_angle_beta 90.00
_cell_angle_gamma 90.00
loop_
_symmetry_equiv_pos_as_xyz
'x,y,z'
'y,-x,-z'
'-x,-y,z'
'-y,x,-z'
'-x,y,z'
'-y,-x,-z'
'x,-y,z'
'y,x,-z'
loop_
_atom_site_label
_atom_site_fract_x
_atom_site_fract_y
_atom_site_fract_z
Ac1 0.000 0.500 0.247
Zn1 0.000 0.000 0.500
Zn2 0.000 0.500 0.871
Zn3 0.500 0.500 0.500
Ga1 0.500 0.500 0.000
Pd1 0.000 0.000 0.000
Pd2 0.000 0.500 0.631
```

---

(8)
Density functional theory data (PBE) for an optimized crystal structure of AcZnGaPd3.

Computed properties:
* size of the total moment: 0.000 μB/atom
* formation energy: -582.6 meV/atom
* calculated density: 9.0 g/cm³
* N(E_F): 11.5 states/eV per cell

Geometry as CIF:
```
data_AcZnGaPd3
_chemical_formula_sum 'Ac4 Zn4 Ga4 Pd12'
_symmetry_space_group_name_H-M 'C m c m'
_symmetry_Int_Tables_number 63
_symmetry_space_group_name_Hall '-C 2c 2'
_cell_length_a 6.861
_cell_length_b 12.386
_cell_length_c 5.898
_cell_angle_alpha 90.00
_cell_angle_beta 90.00
_cell_angle_gamma 90.00
loop_
_atom_site_label
_atom_site_fract_x
_atom_site_fract_y
_atom_site_fract_z
Ac1 0.000 0.215 0.250
Zn1 0.000 0.473 0.250
Ga1 0.000 0.121 0.750
Pd1 0.000 0.321 0.750
Pd2 0.208 0.000 0.000
```

---

(9)
Density functional theory data (PBE) for an optimized crystal structure of AcZrGa2Pd5.

Computed properties:
* size of the total moment: 0.000 μB/atom
* formation energy: -540.2 meV/atom
* calculated density: 9.3 g/cm³
* N(E_F): 5.2 states/eV per cell

Geometry as CIF:
```
data_AcZrGa2Pd5
_chemical_formula_sum 'Ac1 Zr1 Ga2 Pd5'
_symmetry_space_group_name_H-M 'P 4/m m m'
_symmetry_Int_Tables_number 123
_symmetry_space_group_name_Hall '-P 4 2'
_cell_length_a 4.798
_cell_length_b 4.798
_cell_length_c 7.673
_cell_angle_alpha 90.00
_cell_angle_beta 90.00
_cell_angle_gamma 90.00
loop_
_atom_site_label
_atom_site_fract_x
_atom_site_fract_y
_atom_site_fract_z
Ac1 0.000 0.000 0.000
Zr1 0.000 0.000 0.500
Ga1 0.500 0.500 0.336
Pd1 0.000 0.500 0.283
Pd2 0.500 0.500 0.000
```

---

(10)
Density functional theory data (PBE) for an optimized crystal structure of AcPm2Ga6.

Computed properties:
* size of the total moment: 0.000 μB/atom
* formation energy: -650.4 meV/atom
* calculated density: 7.3 g/cm³
* N(E_F): 5.8 states/eV per cell

Geometry as CIF:
```
data_AcPm2Ga6
_chemical_formula_sum 'Ac1 Pm2 Ga6'
_symmetry_space_group_name_H-M 'P 6/m m m'
_symmetry_Int_Tables_number 191
_symmetry_space_group_name_Hall '-P 6 2'
_cell_length_a 7.4612
_cell_length_b 7.4612
_cell_length_c 4.4310
_cell_angle_alpha 90.00
_cell_angle_beta 90.00
_cell_angle_gamma 120.00
loop_
_atom_site_label
_atom_site_fract_x
_atom_site_fract_y
_atom_site_fract_z
Ac1 0.0000 0.0000 0.0000
Pm1 0.3333 0.6667 0.0000
Ga1 0.0000 0.3369 0.5000
```

---

(11)
Density functional theory data (PBE) for an optimized crystal structure of AcPm2Ga3.

Computed properties:
* size of the total moment: 0.000 μB/atom
* formation energy: -517.1 meV/atom
* calculated density: 7.6 g/cm³
* N(E_F): 3.6 states/eV per cell

Geometry as CIF:
```
data_AcPm2Ga3
_chemical_formula_sum 'Ac1 Pm2 Ga3'
_symmetry_space_group_name_H-M 'P 4/m m m'
_symmetry_Int_Tables_number 123
_symmetry_space_group_name_Hall '-P 4 2'
_cell_length_a 3.749
_cell_length_b 3.749
_cell_length_c 11.288
_cell_angle_alpha 90.00
_cell_angle_beta 90.00
_cell_angle_gamma 90.00
loop_
_atom_site_label
_atom_site_fract_x
_atom_site_fract_y
_atom_site_fract_z
Ac1 0.000 0.000 0.000
Pm1 0.000 0.000 0.340
Ga1 0.500 0.500 0.187
Ga2 0.500 0.500 0.500
```

---

(12)
Density functional theory data (PBE) for an optimized crystal structure of Ac2PmGa3.

Computed properties:
* size of the total moment: 0.000 μB/atom
* formation energy: -475.6 meV/atom
* calculated density: 7.9 g/cm³
* N(E_F): 4.6 states/eV per cell

Geometry as CIF:
```
data_Ac2PmGa3
_chemical_formula_sum 'Ac2 Pm1 Ga3'
_symmetry_space_group_name_H-M 'P 4/m m m'
_symmetry_Int_Tables_number 123
_symmetry_space_group_name_Hall '-P 4 2'
_cell_length_a 3.844
_cell_length_b 3.844
_cell_length_c 11.493
_cell_angle_alpha 90.00
_cell_angle_beta 90.00
_cell_angle_gamma 90.00
loop_
_atom_site_label
_atom_site_fract_x
_atom_site_fract_y
_atom_site_fract_z
Ac1 0.000 0.000 0.173
Pm1 0.000 0.000 0.500
Ga1 0.500 0.500 0.000
Ga2 0.500 0.500 0.355
```

---

> Which value of N(E_F) does entry 8 give?

11.5 states/eV per cell